No. 1
This record from Alexandria describes crystalline Si2OsW at its relaxed geometry. The functional is PBE-GGA.

a b c (Å): 8.333 8.333 8.333
angles (deg): 19.50 19.50 19.50
Positions (direct):
Os1 0.250 0.250 0.250
Si1 0.995 0.995 0.995
Si2 0.505 0.505 0.505
W1 0.750 0.750 0.750

## Properties
Density of states at the Fermi level in states/eV/f.u.: 1.6
SG: R-3m

No. 2
This record from Alexandria describes crystalline SiOs2W at its relaxed geometry. The functional is PBE-GGA.

a b c (Å): 2.766 2.766 8.551
angles (deg): 90.00 90.00 116.06
Positions (direct):
Os1 0.000 0.000 0.996
Os2 0.500 0.500 0.272
Si1 0.000 0.000 0.492
W1 0.500 0.500 0.740

## Properties
Density of states at the Fermi level in states/eV/f.u.: 3.5
SG: Cmm2

Summary of E_form (uncorrected) in eV per formula unit
0.1; 1.5
(order as listed above)